[1]
The following is a DFT calculation (GGA-PBE) of crystalline Sm4AlAg2 at its relaxed geometry.

N(E_F) = 1.2555 states/eV/atom
E_form = -0.16 eV per atom
Energy = -29.43 eV for the cell shown
Offset from the most stable computed form = 0 meV/atom
M_tot = 0.118 μB per atom

Cell lengths 5.1959, 5.1959, 8.8534 Å; angles 72.94, 72.94, 60.00 degrees
With the nearest neighbours (Å) after each atom.
Fractional positions:
Ag  0.2567  0.2567  0.2298  8 Sm 3.08-3.26
Ag  0.7433  0.7433  0.7702  8 Sm 3.08-3.26
Sm  0.6184  0.6184  0.1449  4 Ag 3.08-3.12, 3 Al 3.23
Sm  0.3816  0.3816  0.8551  4 Ag 3.08-3.12, 3 Al 3.23
Sm  0.1281  0.1281  0.6158  1 Al 3.20, 4 Ag 3.22-3.26, 3 Sm 3.57
Sm  0.8719  0.8719  0.3842  1 Al 3.20, 4 Ag 3.22-3.26, 3 Sm 3.57
Al  0.0000  0.0000  0.0000  8 Sm 3.20-3.23, 6 Ag 3.56

[2]
The following is a DFT calculation (GGA-PBE) of crystalline PrSm2Tl2Cd2 at its relaxed geometry.

N(E_F) = 0.6301 states/eV/atom
E_form = -0.19 eV per atom
Energy = -22.10 eV for the cell shown
M_tot = 0.000 μB per atom

Cell lengths 5.0483, 5.0483, 9.4921 Å; angles 74.58, 74.58, 60.00 degrees
With the nearest neighbours (Å) after each atom.
Fractional positions:
Cd  0.5757  0.5757  0.2729  3 Tl 3.00, 3 Sm 3.13
Cd  0.4243  0.4243  0.7271  3 Tl 3.00, 3 Sm 3.13
Tl  0.2685  0.2685  0.1945  3 Cd 3.00
Tl  0.7315  0.7315  0.8055  3 Cd 3.00
Sm  0.1329  0.1329  0.6012  3 Cd 3.13, 3 Sm 3.44, 3 Tl 3.45
Sm  0.8671  0.8671  0.3988  3 Cd 3.13, 3 Sm 3.44, 3 Tl 3.45
Pr  0.0000  0.0000  0.0000  6 Tl 3.40, 2 Sm 3.60

[3]
The following is a DFT calculation (GGA-PBE) of crystalline Cs2BaMgBe at its relaxed geometry.

N(E_F) = 1.0805 states/eV/atom
E_form = 1.16 eV per atom
Energy = -3.16 eV for the cell shown
M_tot = 0.232 μB per atom

Cell lengths 8.6970, 6.7090, 8.6970 Å; angles 90.00, 90.00, 90.00 degrees
With the nearest neighbours (Å) after each atom.
Fractional positions:
Cs  0.0000  0.0000  0.5000  2 Ba 4.35
Cs  0.5000  0.0000  0.0000  2 Ba 4.35
Ba  0.0000  0.0000  0.0000  2 Mg 3.35
Be  0.5000  0.5000  0.5000  8 Cs 5.49
Mg  0.0000  0.5000  0.0000  2 Ba 3.35

[4]
The following is a DFT calculation (GGA-PBE) of crystalline FePt2 at its relaxed geometry.

N(E_F) = 0.9983 states/eV/atom
E_form = -0.18 eV per atom
Energy = -42.18 eV for the cell shown
M_tot = 1.216 μB per atom

Cell lengths 4.7592, 4.7592, 7.6902 Å; angles 66.21, 66.21, 33.86 degrees
With the nearest neighbours (Å) after each atom.
Fractional positions:
Fe  0.3278  0.3278  0.5906  7 Pt 2.63-2.66, 5 Fe 2.74-2.84
Fe  0.6722  0.6722  0.4094  7 Pt 2.63-2.66, 5 Fe 2.74-2.84
Pt  0.6683  0.6683  0.9108  2 Fe 2.66, 10 Pt 2.77-2.94
Pt  0.0091  0.0091  0.7228  5 Fe 2.63-2.66, 7 Pt 2.77-2.94
Pt  0.3317  0.3317  0.0892  2 Fe 2.66, 10 Pt 2.77-2.94
Pt  0.9909  0.9909  0.2772  5 Fe 2.63-2.66, 7 Pt 2.77-2.94

[5]
The following is a DFT calculation (GGA-PBE) of crystalline YTi2TlS at its relaxed geometry.

N(E_F) = 1.0665 states/eV/atom
Energy = -24.53 eV for the cell shown
M_tot = 0.801 μB per atom

Cell lengths 5.1278, 5.7379, 5.1278 Å; angles 90.00, 90.00, 90.00 degrees
With the nearest neighbours (Å) after each atom.
Fractional positions:
Ti  0.0000  0.0000  0.5000  2 Tl 2.56
Ti  0.5000  0.0000  0.0000  2 Tl 2.56
Y  0.0000  0.5000  0.0000  2 Tl 2.87
Tl  0.0000  0.0000  0.0000  4 Ti 2.56, 2 Y 2.87
S  0.5000  0.5000  0.5000  4 Y 3.63, 8 Ti 3.85

[6]
The following is a DFT calculation (GGA-PBE) of crystalline Zn2SbIr at its relaxed geometry.

N(E_F) = 0.2226 states/eV/atom
Energy = -14.75 eV for the cell shown
Offset from the most stable computed form = 218 meV/atom
M_tot = 0.000 μB per atom

Cell lengths 8.6241, 8.6241, 8.6241 Å; angles 21.08, 21.08, 21.08 degrees
With the nearest neighbours (Å) after each atom.
Fractional positions:
Sb  0.7500  0.7500  0.7500  6 Zn 2.98, 6 Sb 3.15
Zn  0.5099  0.5099  0.5099  3 Ir 2.60
Zn  0.9901  0.9901  0.9901  3 Ir 2.60
Ir  0.2500  0.2500  0.2500  6 Zn 2.60

[7]
The following is a DFT calculation (GGA-PBE) of crystalline Pr2SmHo3Te6 at its relaxed geometry.

N(E_F) = 0.4966 states/eV/atom
Energy = -62.93 eV for the cell shown
M_tot = 0.000 μB per atom

Cell lengths 4.3639, 8.9576, 9.9391 Å; angles 104.56, 102.68, 90.00 degrees
With the nearest neighbours (Å) after each atom.
Fractional positions:
Pr  0.8322  0.6650  0.6643  6 Te 3.19-3.22
Pr  0.1678  0.3350  0.3357  6 Te 3.19-3.22
Ho  0.5000  0.5000  0.0000  6 Te 3.04-3.09
Ho  0.8311  0.1661  0.6622  6 Te 3.05-3.09
Ho  0.1689  0.8339  0.3378  6 Te 3.05-3.09
Sm  0.5000  0.0000  0.0000  6 Te 3.15-3.17
Te  0.6624  0.5924  0.3249  3 Ho 3.04-3.05, 3 Pr 3.19-3.20
Te  0.0041  0.7458  0.0082  3 Ho 3.09, 2 Sm 3.17, 1 Pr 3.22
Te  0.3323  0.9271  0.6645  3 Ho 3.06, 1 Sm 3.15, 2 Pr 3.20
Te  0.3376  0.4076  0.6751  3 Ho 3.04-3.05, 3 Pr 3.19-3.20
Te  0.6677  0.0729  0.3355  3 Ho 3.06, 1 Sm 3.15, 2 Pr 3.20
Te  0.9959  0.2542  0.9918  3 Ho 3.09, 2 Sm 3.17, 1 Pr 3.22

[8]
The following is a DFT calculation (GGA-PBE) of crystalline LaCr2Hg at its relaxed geometry.

N(E_F) = 0.8321 states/eV/atom
E_form = 0.65 eV per atom
Energy = -21.86 eV for the cell shown
M_tot = 1.855 μB per atom

Cell lengths 5.7966, 5.7966, 3.2146 Å; angles 76.14, 76.14, 112.91 degrees
With the nearest neighbours (Å) after each atom.
Fractional positions:
Cr  0.0000  0.0000  0.0000  2 Hg 2.96, 2 La 2.96, 4 Cr 3.20-3.21
Cr  0.5000  0.5000  0.0000  2 La 2.96, 2 Hg 2.96, 4 Cr 3.20-3.21
Hg  0.5000  0.0000  0.5000  4 Cr 2.96, 2 La 3.20, 2 Hg 3.21
La  0.0000  0.5000  0.5000  4 Cr 2.96, 2 Hg 3.20, 2 La 3.21

[9]
The following is a DFT calculation (GGA-PBE) of crystalline Zr2TlPt at its relaxed geometry.

N(E_F) = 0.7303 states/eV/atom
E_form = -0.40 eV per atom
Energy = -27.11 eV for the cell shown
Offset from the most stable computed form = 94 meV/atom
M_tot = 0.000 μB per atom

Cell lengths 5.9862, 5.9862, 4.7451 Å; angles 66.67, 66.67, 33.36 degrees
With the nearest neighbours (Å) after each atom.
Fractional positions:
Tl  0.7776  0.7776  0.7231  2 Pt 2.96, 6 Zr 2.99-3.26
Pt  0.5090  0.5090  0.4898  6 Zr 2.81-2.94, 2 Tl 2.96
Zr  0.2222  0.2222  0.2785  2 Pt 2.81, 4 Tl 2.99
Zr  0.9912  0.9912  0.0085  4 Pt 2.93-2.94, 2 Tl 3.25-3.26

[10]
The following is a DFT calculation (GGA-PBE) of crystalline Cs2TcI6N at its relaxed geometry.

N(E_F) = 1.3632 states/eV/atom
Energy = -30.25 eV for the cell shown
M_tot = 0.000 μB per atom

Cell lengths 7.5187, 7.5187, 8.4609 Å; angles 63.62, 63.62, 90.00 degrees
With the nearest neighbours (Å) after each atom.
Fractional positions:
I  0.7376  0.2624  0.0000  1 N 2.53, 1 Tc 2.79
I  0.7376  0.7376  0.0000  1 N 2.53, 1 Tc 2.79
I  0.2095  0.2095  0.5810  1 Tc 2.76
I  0.2624  0.7376  0.0000  1 N 2.53, 1 Tc 2.79
I  0.2624  0.2624  0.0000  1 N 2.53, 1 Tc 2.79
I  0.7905  0.7905  0.4190  1 Tc 2.76
Cs  0.2500  0.7500  0.5000  12 I 3.80-4.23
Cs  0.7500  0.2500  0.5000  12 I 3.80-4.23
Tc  0.0000  0.0000  0.0000  6 I 2.76-2.79
N  0.5000  0.5000  0.0000  4 I 2.53

[11]
The following is a DFT calculation (GGA-PBE) of crystalline Sc2HgPt at its relaxed geometry.

N(E_F) = 0.0000 states/eV/atom
E_form = -0.46 eV per atom
Energy = -20.83 eV for the cell shown
M_tot = 0.000 μB per atom

Cell lengths 9.0369, 9.0369, 9.0369 Å; angles 24.64, 24.64, 24.64 degrees
With the nearest neighbours (Å) after each atom.
Fractional positions:
Pt  0.5000  0.5000  0.5000  6 Sc 2.63
Sc  0.8863  0.8863  0.8863  3 Pt 2.63
Sc  0.1137  0.1137  0.1137  3 Pt 2.63
Hg  0.0000  0.0000  0.0000  2 Sc 2.99

[12]
The following is a DFT calculation (GGA-PBE) of crystalline KLi3Pa4O12 at its relaxed geometry.

N(E_F) = 0.0000 states/eV/atom
Energy = -166.76 eV for the cell shown
M_tot = 0.000 μB per atom

Cell lengths 7.1550, 7.1550, 7.1550 Å; angles 109.47, 109.47, 109.47 degrees
With the nearest neighbours (Å) after each atom.
Fractional positions:
Pa  0.5000  0.0000  0.0000  6 O 2.19
Pa  0.0000  0.5000  0.0000  6 O 2.19
Pa  0.0000  0.0000  0.5000  6 O 2.19
Pa  0.5000  0.5000  0.5000  6 O 2.19
Li  0.0000  0.5000  0.5000  4 O 2.19
Li  0.5000  0.5000  0.0000  4 O 2.19
Li  0.5000  0.0000  0.5000  4 O 2.19
O  0.1253  0.3061  0.8191  1 Li 2.19, 2 Pa 2.19
O  0.8747  0.6939  0.1809  1 Li 2.19, 2 Pa 2.19
O  0.8191  0.1253  0.3061  1 Li 2.19, 2 Pa 2.19
O  0.5130  0.6939  0.8191  1 Li 2.19, 2 Pa 2.19
O  0.4870  0.3061  0.1809  1 Li 2.19, 2 Pa 2.19
O  0.3061  0.8191  0.1253  1 Li 2.19, 2 Pa 2.19
O  0.3061  0.1809  0.4870  1 Li 2.19, 2 Pa 2.19
O  0.1809  0.4870  0.3061  1 Li 2.19, 2 Pa 2.19
O  0.6939  0.8191  0.5130  1 Li 2.19, 2 Pa 2.19
O  0.1809  0.8747  0.6939  1 Li 2.19, 2 Pa 2.19
O  0.8191  0.5130  0.6939  1 Li 2.19, 2 Pa 2.19
O  0.6939  0.1809  0.8747  1 Li 2.19, 2 Pa 2.19
K  0.0000  0.0000  0.0000  12 O 2.94

Which of these has the highest energy? Cs2BaMgBe